(1)
# CrPHS, optimized geometry, DFT GGA-PBE
data_CrPHS
_chemical_formula_sum 'Cr2 P2 H2 S2'
_cell_length_a 8.1318
_cell_length_b 2.9917
_cell_length_c 5.6619
_cell_angle_alpha 90.00
_cell_angle_beta 133.39
_cell_angle_gamma 90.00
_symmetry_space_group_name_H-M 'C 1 m 1'
_symmetry_Int_Tables_number 8
loop_
_symmetry_equiv_pos_as_xyz
'x,y,z'
'x,-y,z'
'x+1/2,y+1/2,z'
'x+1/2,-y+1/2,z'
loop_
_atom_site_label
_atom_site_type_symbol
_atom_site_fract_x
_atom_site_fract_y
_atom_site_fract_z
Cr1 Cr 0.0000 0.0000 0.0000
P1 P 0.2595 0.0000 0.5600
H1 H 0.1552 0.5000 0.1657
S1 S 0.2484 0.0000 0.9265
# distance to the lowest polymorph of the same formula = 267 meV per atom

=====

(2)
# CrPHS, optimized geometry, DFT GGA-PBE
data_CrPHS
_chemical_formula_sum 'Cr2 P2 H2 S2'
_cell_length_a 3.0603
_cell_length_b 2.8202
_cell_length_c 13.3233
_cell_angle_alpha 90.00
_cell_angle_beta 90.00
_cell_angle_gamma 90.00
_symmetry_space_group_name_H-M 'A m m 2'
_symmetry_Int_Tables_number 38
loop_
_symmetry_equiv_pos_as_xyz
'x,y,z'
'-x,-y,z'
'-x,y,z'
'x,-y,z'
'x,y+1/2,z+1/2'
'-x,-y+1/2,z+1/2'
'-x,y+1/2,z+1/2'
'x,-y+1/2,z+1/2'
loop_
_atom_site_label
_atom_site_type_symbol
_atom_site_fract_x
_atom_site_fract_y
_atom_site_fract_z
Cr1 Cr 0.0000 0.0000 0.0000
P1 P 0.5000 0.0000 0.5862
H1 H 0.5000 0.0000 0.6932
S1 S 0.0000 0.0000 0.3737
# distance to the lowest polymorph of the same formula = 203 meV per atom

=====

(3)
# CrPHS, optimized geometry, DFT GGA-PBE
data_CrPHS
_chemical_formula_sum 'Cr1 P1 H1 S1'
_cell_length_a 3.0325
_cell_length_b 4.2048
_cell_length_c 4.3440
_cell_angle_alpha 71.54
_cell_angle_beta 80.20
_cell_angle_gamma 70.32
_symmetry_space_group_name_H-M 'P 1'
_symmetry_Int_Tables_number 1
loop_
_symmetry_equiv_pos_as_xyz
'x,y,z'
loop_
_atom_site_label
_atom_site_type_symbol
_atom_site_fract_x
_atom_site_fract_y
_atom_site_fract_z
Cr1 Cr 0.0000 0.0000 0.0000
P1 P 0.5757 0.0579 0.5986
H1 H 0.7583 0.7730 0.4268
S1 S 0.2904 0.4046 0.0838
# distance to the lowest polymorph of the same formula = 380 meV per atom

=====

(4)
Here is a relaxed CrTe2PH crystal from Alexandria via LeMat-Bulk. Energies are from GGA-PBE.

Geometry as CIF:
```
data_CrTe2PH
_chemical_formula_sum 'Cr1 Te2 P1 H1'
_cell_length_a 5.2639
_cell_length_b 5.2639
_cell_length_c 3.4499
_cell_angle_alpha 90.00
_cell_angle_beta 90.00
_cell_angle_gamma 90.00
_symmetry_space_group_name_H-M 'P 4/m m m'
_symmetry_Int_Tables_number 123
_symmetry_space_group_name_Hall '-P 4 2'
loop_
_atom_site_label
_atom_site_type_symbol
_atom_site_fract_x
_atom_site_fract_y
_atom_site_fract_z
Cr1 Cr 0.0000 0.0000 0.0000
Te1 Te 0.0000 0.5000 0.0000
P1 P 0.5000 0.5000 0.5000
H1 H 0.0000 0.0000 0.5000
```

=====

(5)
Here is a relaxed Y2CrPH crystal from Alexandria via LeMat-Bulk. Energies are from GGA-PBE.

Geometry as CIF:
```
data_Y2CrPH
_chemical_formula_sum 'Y2 Cr1 P1 H1'
_cell_length_a 5.5239
_cell_length_b 5.5239
_cell_length_c 3.5070
_cell_angle_alpha 90.00
_cell_angle_beta 90.00
_cell_angle_gamma 90.00
_symmetry_space_group_name_H-M 'P 4/m m m'
_symmetry_Int_Tables_number 123
_symmetry_space_group_name_Hall '-P 4 2'
loop_
_atom_site_label
_atom_site_type_symbol
_atom_site_fract_x
_atom_site_fract_y
_atom_site_fract_z
Y1 Y 0.0000 0.5000 0.0000
Cr1 Cr 0.0000 0.0000 0.5000
P1 P 0.5000 0.5000 0.0000
H1 H 0.5000 0.5000 0.5000
```

=====

(6)
Here is a relaxed Zr2CrPH crystal from Alexandria via LeMat-Bulk. Energies are from GGA-PBE.

Geometry as CIF:
```
data_Zr2CrPH
_chemical_formula_sum 'Zr2 Cr1 P1 H1'
_cell_length_a 5.1126
_cell_length_b 5.1126
_cell_length_c 3.3059
_cell_angle_alpha 90.00
_cell_angle_beta 90.00
_cell_angle_gamma 90.00
_symmetry_space_group_name_H-M 'P 4/m m m'
_symmetry_Int_Tables_number 123
_symmetry_space_group_name_Hall '-P 4 2'
loop_
_atom_site_label
_atom_site_type_symbol
_atom_site_fract_x
_atom_site_fract_y
_atom_site_fract_z
Zr1 Zr 0.0000 0.5000 0.0000
Cr1 Cr 0.0000 0.0000 0.5000
P1 P 0.5000 0.5000 0.0000
H1 H 0.5000 0.5000 0.5000
```

=====

(7)
Here is a relaxed PaCrH6 crystal from Alexandria via LeMat-Bulk. Energies are from GGA-PBE.

Geometry as CIF:
```
data_PaCrH6
_chemical_formula_sum 'Pa3 Cr3 H18'
_cell_length_a 4.3214
_cell_length_b 4.3214
_cell_length_c 10.7567
_cell_angle_alpha 90.00
_cell_angle_beta 90.00
_cell_angle_gamma 120.00
_symmetry_space_group_name_H-M 'R -3 m'
_symmetry_Int_Tables_number 166
_symmetry_space_group_name_Hall '-R 3 2"'
loop_
_atom_site_label
_atom_site_type_symbol
_atom_site_fract_x
_atom_site_fract_y
_atom_site_fract_z
Pa1 Pa 0.0000 0.0000 0.0000
Cr1 Cr 0.0000 0.0000 0.5000
H1 H 0.0438 0.5219 0.9141
```

=====

(8)
Here is a relaxed Pa3Cr5H12 crystal from Alexandria via LeMat-Bulk. Energies are from GGA-PBE.

Geometry as CIF:
```
data_Pa3Cr5H12
_chemical_formula_sum 'Pa24 Cr40 H96'
_cell_length_a 11.2794
_cell_length_b 11.2794
_cell_length_c 11.2794
_cell_angle_alpha 90.00
_cell_angle_beta 90.00
_cell_angle_gamma 90.00
_symmetry_space_group_name_H-M 'I a -3 d'
_symmetry_Int_Tables_number 230
_symmetry_space_group_name_Hall '-I 4bd 2c 3'
loop_
_atom_site_label
_atom_site_type_symbol
_atom_site_fract_x
_atom_site_fract_y
_atom_site_fract_z
Pa1 Pa 0.0000 0.2500 0.1250
Cr1 Cr 0.0000 0.0000 0.0000
Cr2 Cr 0.0000 0.2500 0.3750
H1 H 0.0346 0.0563 0.6395
```

=====

(9)
# Cr2HPb, optimized geometry, DFT GGA-PBE
data_Cr2HPb
_chemical_formula_sum 'Cr8 H4 Pb4'
_cell_length_a 6.4302
_cell_length_b 6.4302
_cell_length_c 6.4302
_cell_angle_alpha 90.00
_cell_angle_beta 90.00
_cell_angle_gamma 90.00
_symmetry_space_group_name_H-M 'F m -3 m'
_symmetry_Int_Tables_number 225
_symmetry_space_group_name_Hall '-F 4 2 3'
loop_
_atom_site_label
_atom_site_type_symbol
_atom_site_fract_x
_atom_site_fract_y
_atom_site_fract_z
Cr1 Cr 0.2500 0.2500 0.2500
H1 H 0.0000 0.0000 0.0000
Pb1 Pb 0.0000 0.0000 0.5000
# distance to the lowest polymorph of the same formula = 406 meV per atom

=====

(10)
# CrH2Pb, optimized geometry, DFT GGA-PBE
data_CrH2Pb
_chemical_formula_sum 'Cr4 H8 Pb4'
_cell_length_a 5.9694
_cell_length_b 5.9694
_cell_length_c 5.9694
_cell_angle_alpha 90.00
_cell_angle_beta 90.00
_cell_angle_gamma 90.00
_symmetry_space_group_name_H-M 'F m -3 m'
_symmetry_Int_Tables_number 225
_symmetry_space_group_name_Hall '-F 4 2 3'
loop_
_atom_site_label
_atom_site_type_symbol
_atom_site_fract_x
_atom_site_fract_y
_atom_site_fract_z
Cr1 Cr 0.0000 0.0000 0.0000
H1 H 0.2500 0.2500 0.2500
Pb1 Pb 0.0000 0.0000 0.5000
# distance to the lowest polymorph of the same formula = 569 meV per atom

=====

(11)
# Cr3HPb, optimized geometry, DFT GGA-PBE
data_Cr3HPb
_chemical_formula_sum 'Cr3 H1 Pb1'
_cell_length_a 3.9263
_cell_length_b 3.9263
_cell_length_c 3.9263
_cell_angle_alpha 90.00
_cell_angle_beta 90.00
_cell_angle_gamma 90.00
_symmetry_space_group_name_H-M 'P m -3 m'
_symmetry_Int_Tables_number 221
_symmetry_space_group_name_Hall '-P 4 2 3'
loop_
_atom_site_label
_atom_site_type_symbol
_atom_site_fract_x
_atom_site_fract_y
_atom_site_fract_z
Cr1 Cr 0.0000 0.0000 0.5000
H1 H 0.0000 0.0000 0.0000
Pb1 Pb 0.5000 0.5000 0.5000
# distance to the lowest polymorph of the same formula = 0 meV per atom

=====

(12)
# Cr3HPb, optimized geometry, DFT GGA-PBE
data_Cr3HPb
_chemical_formula_sum 'Cr3 H1 Pb1'
_cell_length_a 5.3376
_cell_length_b 5.3376
_cell_length_c 5.3376
_cell_angle_alpha 90.00
_cell_angle_beta 90.00
_cell_angle_gamma 90.00
_symmetry_space_group_name_H-M 'P m -3 m'
_symmetry_Int_Tables_number 221
_symmetry_space_group_name_Hall '-P 4 2 3'
loop_
_atom_site_label
_atom_site_type_symbol
_atom_site_fract_x
_atom_site_fract_y
_atom_site_fract_z
Cr1 Cr 0.0000 0.0000 0.5000
H1 H 0.5000 0.5000 0.5000
Pb1 Pb 0.0000 0.0000 0.0000
# distance to the lowest polymorph of the same formula = 1294 meV per atom

=====

(13)
# CrH2Pb, optimized geometry, DFT GGA-PBE
data_CrH2Pb
_chemical_formula_sum 'Cr4 H8 Pb4'
_cell_length_a 4.8719
_cell_length_b 4.8719
_cell_length_c 9.3237
_cell_angle_alpha 90.00
_cell_angle_beta 90.00
_cell_angle_gamma 90.00
_symmetry_space_group_name_H-M 'I -4 2 d'
_symmetry_Int_Tables_number 122
_symmetry_space_group_name_Hall 'I -4 2bw'
loop_
_atom_site_label
_atom_site_type_symbol
_atom_site_fract_x
_atom_site_fract_y
_atom_site_fract_z
Cr1 Cr 0.0000 0.0000 0.0000
H1 H 0.0625 0.2500 0.1250
Pb1 Pb 0.0000 0.0000 0.5000
# distance to the lowest polymorph of the same formula = 0 meV per atom

=====

(14)
# Cr2HPb, optimized geometry, DFT GGA-PBE
data_Cr2HPb
_chemical_formula_sum 'Cr8 H4 Pb4'
_cell_length_a 4.9353
_cell_length_b 4.9353
_cell_length_c 9.0435
_cell_angle_alpha 90.00
_cell_angle_beta 90.00
_cell_angle_gamma 90.00
_symmetry_space_group_name_H-M 'I 41/a m d'
_symmetry_Int_Tables_number 141
loop_
_symmetry_equiv_pos_as_xyz
'x,y,z'
'-x,-y,-z'
'-y+1/4,x+3/4,z+1/4'
'y+1/4,-x+3/4,-z+1/4'
'-x+1/2,-y,z+1/2'
'x+1/2,y,-z+1/2'
'y+1/4,-x+1/4,z+3/4'
'-y+1/4,x+1/4,-z+3/4'
'x,-y,-z'
'-x,y,z'
'-y+1/4,-x+1/4,-z+3/4'
'y+1/4,x+1/4,z+3/4'
'-x+1/2,y,-z+1/2'
'x+1/2,-y,z+1/2'
'y+1/4,x+3/4,-z+1/4'
'-y+1/4,-x+3/4,z+1/4'
'x+1/2,y+1/2,z+1/2'
'-x+1/2,-y+1/2,-z+1/2'
'-y+3/4,x+1/4,z+3/4'
'y+3/4,-x+1/4,-z+3/4'
'-x,-y+1/2,z'
'x,y+1/2,-z'
'y+3/4,-x+3/4,z+1/4'
'-y+3/4,x+3/4,-z+1/4'
'x+1/2,-y+1/2,-z+1/2'
'-x+1/2,y+1/2,z+1/2'
'-y+3/4,-x+3/4,-z+1/4'
'y+3/4,x+3/4,z+1/4'
'-x,y+1/2,-z'
'x,-y+1/2,z'
'y+3/4,x+1/4,-z+3/4'
'-y+3/4,-x+1/4,z+3/4'
loop_
_atom_site_label
_atom_site_type_symbol
_atom_site_fract_x
_atom_site_fract_y
_atom_site_fract_z
Cr1 Cr 0.0000 0.0000 0.0000
H1 H 0.0000 0.2500 0.8750
Pb1 Pb 0.0000 0.2500 0.3750
# distance to the lowest polymorph of the same formula = 0 meV per atom

=====

(15)
Here is a relaxed V2CrHPb crystal from Alexandria via LeMat-Bulk. Energies are from GGA-PBE.

Geometry as CIF:
```
data_V2CrHPb
_chemical_formula_sum 'V2 Cr1 H1 Pb1'
_cell_length_a 5.0333
_cell_length_b 5.0333
_cell_length_c 3.4132
_cell_angle_alpha 90.00
_cell_angle_beta 90.00
_cell_angle_gamma 90.00
_symmetry_space_group_name_H-M 'P 4/m m m'
_symmetry_Int_Tables_number 123
_symmetry_space_group_name_Hall '-P 4 2'
loop_
_atom_site_label
_atom_site_type_symbol
_atom_site_fract_x
_atom_site_fract_y
_atom_site_fract_z
V1 V 0.0000 0.5000 0.0000
Cr1 Cr 0.0000 0.0000 0.5000
H1 H 0.5000 0.5000 0.5000
Pb1 Pb 0.5000 0.5000 0.0000
```

=====

(16)
# YCrHPb2, optimized geometry, DFT GGA-PBE
data_YCrHPb2
_chemical_formula_sum 'Y1 Cr1 H1 Pb2'
_cell_length_a 4.9406
_cell_length_b 4.9406
_cell_length_c 4.3580
_cell_angle_alpha 90.00
_cell_angle_beta 90.00
_cell_angle_gamma 90.00
_symmetry_space_group_name_H-M 'P 4/m m m'
_symmetry_Int_Tables_number 123
_symmetry_space_group_name_Hall '-P 4 2'
loop_
_atom_site_label
_atom_site_type_symbol
_atom_site_fract_x
_atom_site_fract_y
_atom_site_fract_z
Y1 Y 0.0000 0.0000 0.0000
Cr1 Cr 0.5000 0.5000 0.0000
H1 H 0.0000 0.0000 0.5000
Pb1 Pb 0.0000 0.5000 0.5000
# distance to the lowest polymorph of the same formula = 8 meV per atom

=====

(17)
# YCrHPb2, optimized geometry, DFT GGA-PBE
data_YCrHPb2
_chemical_formula_sum 'Y1 Cr1 H1 Pb2'
_cell_length_a 5.6827
_cell_length_b 5.6827
_cell_length_c 3.4076
_cell_angle_alpha 90.00
_cell_angle_beta 90.00
_cell_angle_gamma 90.00
_symmetry_space_group_name_H-M 'P 4/m m m'
_symmetry_Int_Tables_number 123
_symmetry_space_group_name_Hall '-P 4 2'
loop_
_atom_site_label
_atom_site_type_symbol
_atom_site_fract_x
_atom_site_fract_y
_atom_site_fract_z
Y1 Y 0.0000 0.0000 0.0000
Cr1 Cr 0.5000 0.5000 0.5000
H1 H 0.5000 0.5000 0.0000
Pb1 Pb 0.0000 0.5000 0.5000
# distance to the lowest polymorph of the same formula = 0 meV per atom

=====

(18)
Here is a relaxed Y2CrHPb crystal from Alexandria via LeMat-Bulk. Energies are from GGA-PBE.

Geometry as CIF:
```
data_Y2CrHPb
_chemical_formula_sum 'Y2 Cr1 H1 Pb1'
_cell_length_a 4.8949
_cell_length_b 4.8949
_cell_length_c 4.2599
_cell_angle_alpha 90.00
_cell_angle_beta 90.00
_cell_angle_gamma 90.00
_symmetry_space_group_name_H-M 'P 4/m m m'
_symmetry_Int_Tables_number 123
_symmetry_space_group_name_Hall '-P 4 2'
loop_
_atom_site_label
_atom_site_type_symbol
_atom_site_fract_x
_atom_site_fract_y
_atom_site_fract_z
Y1 Y 0.0000 0.5000 0.0000
Cr1 Cr 0.0000 0.0000 0.5000
H1 H 0.0000 0.0000 0.0000
Pb1 Pb 0.5000 0.5000 0.5000
```

=====

(19)
Here is a relaxed Zr2CrHPb crystal from Alexandria via LeMat-Bulk. Energies are from GGA-PBE.

Geometry as CIF:
```
data_Zr2CrHPb
_chemical_formula_sum 'Zr2 Cr1 H1 Pb1'
_cell_length_a 4.4277
_cell_length_b 4.4277
_cell_length_c 4.3255
_cell_angle_alpha 90.00
_cell_angle_beta 90.00
_cell_angle_gamma 90.00
_symmetry_space_group_name_H-M 'P 4/m m m'
_symmetry_Int_Tables_number 123
_symmetry_space_group_name_Hall '-P 4 2'
loop_
_atom_site_label
_atom_site_type_symbol
_atom_site_fract_x
_atom_site_fract_y
_atom_site_fract_z
Zr1 Zr 0.0000 0.5000 0.0000
Cr1 Cr 0.0000 0.0000 0.5000
H1 H 0.0000 0.0000 0.0000
Pb1 Pb 0.5000 0.5000 0.5000
```

=====

no.,size of the total moment (Bohr magnetons per cell),energy (eV per atom)
1,0.00,-5.74
2,0.00,-5.81
3,0.00,-5.63
4,3.03,-4.55
5,4.42,-6.11
6,3.21,-6.86
7,3.00,-5.04
8,8.21,-5.87
9,28.02,-5.61
10,17.05,-4.12
11,2.89,-6.66
12,13.00,-5.37
13,13.66,-4.69
14,9.93,-6.02
15,0.00,-5.09
16,4.11,-5.23
17,3.18,-5.24
18,3.40,-6.08
19,2.96,-6.82